Record 1
Compound: TlCSeBr2
Source: Alexandria
Functional: SCAN
Structure: PBEsol geometry

Cell: 5.4450 5.4450 5.4646 Å, 90.00 90.00 90.00°
Closest atoms and distances in Å follow each position.
Element x y z (fractional)
Tl 0.0000 0.0000 0.0000  4 Br 2.72, 2 Se 2.73
Se 0.0000 0.0000 0.5000  2 Tl 2.73
Br 0.0000 0.5000 0.0000  2 Tl 2.72
Br 0.5000 0.0000 0.0000  2 Tl 2.72
C 0.5000 0.5000 0.5000  4 Se 3.85, 8 Br 3.86

Results
formation energy without anion corrections	1.512	eV per atom
calculated density	4.67	g/cm³
total magnetic moment	0.63	μB per cell

***

Record 2
Compound: MgSb2Ru
Source: Alexandria
Functional: SCAN
Structure: PBEsol geometry

Cell: 3.7385 4.5424 4.5424 Å, 90.00 90.00 90.00°
Closest atoms and distances in Å follow each position.
Element x y z (fractional)
Ru 0.5000 0.0000 0.0000  8 Sb 2.94, 4 Mg 3.21
Sb 0.0000 0.0000 0.5000  4 Ru 2.94, 4 Mg 2.94, 4 Sb 3.21
Mg 0.5000 0.5000 0.5000  8 Sb 2.94, 4 Ru 3.21
Sb 0.0000 0.5000 0.0000  4 Mg 2.94, 4 Ru 2.94, 4 Sb 3.21

Results
formation energy without anion corrections	0.158	eV per atom
calculated density	7.94	g/cm³
total magnetic moment	0.00	μB per cell

***

Record 3
Compound: MoOsW2
Source: Alexandria
Functional: SCAN
Structure: PBEsol geometry

Cell: 4.4110 4.4110 4.4110 Å, 60.00 60.00 60.00°
Closest atoms and distances in Å follow each position.
Element x y z (fractional)
Mo 0.0000 0.0000 0.0000  8 W 2.70
Os 0.5000 0.5000 0.5000  8 W 2.70
W 0.7500 0.7500 0.7500  4 Os 2.70, 4 Mo 2.70
W 0.2500 0.2500 0.2500  4 Mo 2.70, 4 Os 2.70

Results
excess energy over the best structure of this formula in the dataset	0.0056	eV per atom
formation energy from the elements	0.125	eV per atom
calculated density	17.89	g/cm³
total magnetic moment	0.00	μB per cell